The following is a GGA-PBE calculation of a relaxed structure of CrTc2As8, from the Alexandria database.

Summary:
The value obtained for the density of states at the Fermi level is 5.4 states/eV per cell. As for the energy relative to the elements: 0.03 eV per atom. The total moment is 2.1 μB per cell.

```
CrTc2As8
1.0
7.8269 -2.1286 0.0000
7.8269 2.1286 0.0000
-2.5495 0.0000 5.8030
Cr Tc As
1 2 8
Direct
0.0000 0.0000 0.0000
0.3250 0.3250 0.3194
0.6750 0.6750 0.6806
0.0722 0.0722 0.4481
0.1784 0.1784 0.9512
0.2821 0.2821 0.6715
0.4324 0.4324 0.0932
0.5676 0.5676 0.9068
0.7179 0.7179 0.3285
0.8216 0.8216 0.0488
0.9278 0.9278 0.5519
```